## UFeC (PBE)

Data for a relaxed structure of UFeC.

DOS(E_F)	0.86	states/eV per atom
E	-27.4	eV/f.u.
space-group type	I4mm

Geometry as extended XYZ:
```
3
Lattice="-0.9631 -2.4846 -0.5990 1.1128 -0.9839 2.2920 -4.3357 2.7790 1.6706" Properties=species:S:1:pos:R:3 pbc="T T T"
U -3.7929 -0.7860 3.1313
Fe -1.8675 -1.2580 1.9939
C -1.4333 0.3514 0.8467
```


## V6Fe3C (PBE)

Data for a relaxed structure of V6Fe3C.

DOS(E_F)	1.05	states/eV per atom
E	-89.3	eV/f.u.
space-group type	C2/m

Geometry as extended XYZ:
```
10
Lattice="-2.2748 -4.3646 -4.6632 -0.9883 -6.1166 -0.1823 -5.1437 -3.3850 -0.7119" Properties=species:S:1:pos:R:3 pbc="T T T"
V -3.6686 -6.4882 -4.6807
V -4.7382 -7.3779 -0.8768
Fe 0.0000 0.0000 0.0000
C -4.2034 -6.9330 -2.7787
Fe -5.9331 -9.9336 -4.6829
V -3.9375 -8.9011 -3.0651
V -2.3661 -6.3476 -2.2243
V -6.0407 -7.5185 -3.3331
V -4.4693 -4.9650 -2.4924
Fe -2.4736 -3.9325 -0.8746
```


## V8FeC2 (PBE)

Data for a relaxed structure of V8FeC2.

DOS(E_F)	0.92	states/eV per atom
E	-101.4	eV/f.u.
space-group type	C2/m

Geometry as extended XYZ:
```
11
Lattice="-4.1766 0.7193 0.2812 -0.2601 -5.3366 -2.1092 1.1553 -0.1415 5.6250" Properties=species:S:1:pos:R:3 pbc="T T T"
C 0.1819 -3.7142 0.3061
V -2.8965 -3.0103 4.0384
Fe -2.0883 0.3597 0.1406
V -2.0061 -3.7205 -0.0981
V -1.2753 -1.0383 3.8950
C 0.7133 -1.7639 3.2096
V -0.6937 -3.1568 2.2474
V -0.3848 -1.7485 -0.2415
V -3.2630 -4.3552 2.0362
V -0.0184 -0.4035 1.7608
V -2.5877 -1.6019 1.5496
```


## V2FeC (PBE)

Data for a relaxed structure of V2FeC.

DOS(E_F)	0.71	states/eV per atom
E	-35.6	eV/f.u.
space-group type	R-3m

Geometry as extended XYZ:
```
4
Lattice="-1.9425 -2.0427 -0.3200 0.6888 -2.7047 0.5085 -2.2613 -0.8396 6.5116" Properties=species:S:1:pos:R:3 pbc="T T T"
Fe 0.0000 0.0000 0.0000
C -1.7575 -2.7935 3.3501
V -1.8613 -4.5026 2.3139
V -1.6537 -1.0844 4.3862
```


- What is the formula in the second record?
  V6Fe3C